# 1
VASP calculation (PBE) on MgCo2Mo after structural relaxation.

```
MgCo2Mo
1.0
-3.3357 3.3357 2.7001
3.3357 -3.3357 2.7001
3.3357 3.3357 -2.7001
Mg Co Mo
2 4 2
Cartesian
0.0000 0.0000 0.0000
0.0000 3.3357 1.3500
1.6679 -1.4252 2.0250
1.9105 1.6679 0.6750
1.6679 4.7610 -0.6750
1.4252 1.6679 3.3751
3.3357 0.0000 1.3500
0.0000 0.0000 2.7001
```

Computed properties:
Energy relative to the elements in eV per formula unit: 2.4
Final energy in eV per atom: -6.071

---

# 2
VASP calculation (PBE) on TlGaFeSn2 after structural relaxation.

```
TlGaFeSn2
1.0
4.8609 0.0000 0.0000
0.0000 4.8609 0.0000
0.0000 0.0000 5.0505
Tl Ga Fe Sn
1 1 1 2
Cartesian
0.0000 0.0000 0.0000
2.4304 2.4304 0.0000
0.0000 0.0000 2.5252
0.0000 2.4304 2.5252
2.4304 0.0000 2.5252
```

Computed properties:
Energy relative to the elements in eV per formula unit: 1.4
Final energy in eV per atom: -4.101
Excess energy over the best structure of this formula in the dataset in meV per atom: 192